(1)
VASP calculation (PBE-GGA) on a geometry-optimized Y2Be2GaPt5 structure.

Summary:
The crystal system is tetragonal. Its formation energy from the elements is -944 kJ/mol of formula units.

Unit cell a=9.509 b=9.509 c=3.539 alpha=90.00 beta=90.00 gamma=90.00
Space group P4/mbm (No. 127)
Asymmetric unit:
Y  0.178  0.322  0.000
Be  0.119  0.619  0.000
Ga  0.000  0.000  0.000
Pt  0.000  0.500  0.500
Pt  0.066  0.787  0.500

(2)
VASP calculation (PBE-GGA) on a geometry-optimized SrMn2Si structure.

Summary:
The crystal system is orthorhombic. The calculation puts the uncorrected formation energy at 9.69 kcal/mol of atoms.

Unit cell a=3.311 b=5.298 c=9.404 alpha=90.00 beta=90.00 gamma=90.00
Space group Immm (No. 71)
Asymmetric unit:
Sr  0.000  0.000  0.000
Mn  0.000  0.500  0.194
Si  0.000  0.000  0.500

(3)
VASP calculation (PBE-GGA) on a geometry-optimized TeI2BrO structure.

Summary:
The crystal system is tetragonal. The value obtained for the distance to the lowest polymorph of the same formula is 0.0 meV per atom. The calculation puts the uncorrected formation energy at -0.19 kcal/mol of atoms.

Unit cell a=6.118 b=6.118 c=4.049 alpha=90.00 beta=90.00 gamma=90.00
Space group P4/mmm (No. 123)
Asymmetric unit:
Te  0.000  0.000  0.000
I  0.000  0.500  0.000
Br  0.500  0.500  0.500
O  0.000  0.000  0.500

(4)
VASP calculation (PBE-GGA) on a geometry-optimized Na3PuSc3Se8 structure.

Summary:
The crystal system is trigonal. The calculation puts the uncorrected formation energy at -34.55 kcal/mol of atoms.

Unit cell a=7.9277 b=7.9277 c=21.0190 alpha=90.00 beta=90.00 gamma=120.00
Space group R-3m (No. 166, hexagonal axes)
Asymmetric unit:
Na  0.0000  0.5000  0.0000
Pu  0.0000  0.0000  0.5000
Sc  0.0000  0.5000  0.5000
Se  0.0000  0.0000  0.2395
Se  0.0110  0.5055  0.7600

(5)
VASP calculation (PBE-GGA) on a geometry-optimized BeVSbTe2 structure.

Summary:
The crystal system is tetragonal. The value obtained for the distance to the lowest polymorph of the same formula is 125.4 meV per atom. The calculation puts the uncorrected formation energy at 20.03 kcal/mol of atoms.

Unit cell a=5.083 b=5.083 c=4.619 alpha=90.00 beta=90.00 gamma=90.00
Space group P4/mmm (No. 123)
Asymmetric unit:
Be  0.000  0.000  0.000
V  0.500  0.500  0.500
Sb  0.000  0.000  0.500
Te  0.000  0.500  0.000

(6)
VASP calculation (PBE-GGA) on a geometry-optimized Ca4Mg2Zn3 structure.

Summary:
The crystal system is monoclinic. Its formation energy from the elements is -104 kJ/mol of formula units.

Unit cell a=17.633 b=3.690 c=7.869 alpha=90.00 beta=105.59 gamma=90.00
Space group C2/m (No. 12)
Asymmetric unit:
Ca  0.063  0.000  0.352
Ca  0.246  0.000  0.731
Mg  0.116  0.000  0.966
Zn  0.000  0.500  0.000
Zn  0.091  0.500  0.685

(7)
VASP calculation (PBE-GGA) on a geometry-optimized NaCa2RuAu structure.

Summary:
The crystal system is tetragonal. Its formation energy from the elements is 477 kJ/mol of formula units.

Unit cell a=5.466 b=5.466 c=4.741 alpha=90.00 beta=90.00 gamma=90.00
Space group P4/mmm (No. 123)
Asymmetric unit:
Na  0.000  0.000  0.000
Ca  0.000  0.500  0.000
Ru  0.500  0.500  0.500
Au  0.000  0.000  0.500

(8)
VASP calculation (PBE-GGA) on a geometry-optimized LiGeTe3 structure.

Summary:
The crystal system is cubic. The value obtained for the distance to the lowest polymorph of the same formula is 405.9 meV per atom. The calculation puts the uncorrected formation energy at 3.48 kcal/mol of atoms.

Unit cell a=5.482 b=5.482 c=5.482 alpha=90.00 beta=90.00 gamma=90.00
Space group Pm-3m (No. 221)
Asymmetric unit:
Li  0.000  0.000  0.000
Ge  0.500  0.500  0.500
Te  0.000  0.500  0.500

(9)
VASP calculation (PBE-GGA) on a geometry-optimized Pa2MnCo3As4 structure.

Summary:
The crystal system is tetragonal. Its formation energy from the elements is -639 kJ/mol of formula units.

Unit cell a=4.124 b=4.124 c=9.225 alpha=90.00 beta=90.00 gamma=90.00
Space group P-4m2 (No. 115)
Asymmetric unit:
Pa  0.000  0.500  0.243
Mn  0.500  0.500  0.000
Co  0.000  0.000  0.000
Co  0.000  0.500  0.617
As  0.000  0.000  0.500
As  0.000  0.500  0.866
As  0.500  0.500  0.500

(10)
VASP calculation (PBE-GGA) on a geometry-optimized TaCr2Cl structure.

Summary:
The crystal system is monoclinic. The value obtained for the distance to the lowest polymorph of the same formula is 363.6 meV per atom. The calculation puts the uncorrected formation energy at 10.43 kcal/mol of atoms.

Unit cell a=8.916 b=2.930 c=4.905 alpha=90.00 beta=111.56 gamma=90.00
Space group Cm (No. 8)
Asymmetric unit:
Ta  0.000  0.000  0.000
Cr  0.163  0.000  0.632
Cr  0.467  0.000  0.494
Cl  0.253  0.500  0.119

(11)
VASP calculation (PBE-GGA) on a geometry-optimized PrMnSi2Ni structure.

Summary:
The crystal system is tetragonal. The calculation puts the uncorrected formation energy at -14.51 kcal/mol of atoms.

Unit cell a=4.022 b=4.022 c=10.011 alpha=90.00 beta=90.00 gamma=90.00
Space group I-4m2 (No. 119)
Asymmetric unit:
Pr  0.000  0.000  0.000
Mn  0.000  0.500  0.250
Si  0.000  0.000  0.367
Ni  0.000  0.500  0.750

(12)
VASP calculation (PBE-GGA) on a geometry-optimized TbSm2Tm6 structure.

Summary:
The crystal system is monoclinic. Its formation energy from the elements is 93 kJ/mol of formula units.

Unit cell a=12.718 b=14.074 c=6.496 alpha=90.00 beta=103.52 gamma=90.00
Space group C2/c (No. 15)
Asymmetric unit:
Tb  0.000  0.119  0.250
Sm  0.142  0.474  0.373
Tm  0.036  0.312  0.003
Tm  0.133  0.088  0.816
Tm  0.240  0.299  0.732

(13)
VASP calculation (PBE-GGA) on a geometry-optimized SmSiSn structure.

Summary:
The crystal system is orthorhombic. The calculation puts the uncorrected formation energy at -13.32 kcal/mol of atoms.

Unit cell a=4.328 b=17.001 c=3.980 alpha=90.00 beta=90.00 gamma=90.00
Space group Cmcm (No. 63)
Asymmetric unit:
Sm  0.000  0.094  0.250
Si  0.000  0.457  0.250
Sn  0.000  0.261  0.750